(1)
Material: NdSc5Ru4
Method: DFT, PBE-GGA
State: relaxed

Geometry as POSCAR:
```
NdSc5Ru4
1.0
3.2434 0.0000 0.0000
0.0000 3.2434 0.0000
0.0000 0.0000 18.1899
Ru Sc Nd
4 5 1
Direct
0.0000 0.0000 0.2329 Ru
0.0000 0.0000 0.5883 Ru
0.0000 0.0000 0.7671 Ru
0.0000 0.0000 0.4117 Ru
0.5000 0.5000 0.1540 Sc
0.5000 0.5000 0.6735 Sc
0.5000 0.5000 0.5000 Sc
0.5000 0.5000 0.3265 Sc
0.5000 0.5000 0.8460 Sc
0.0000 0.0000 0.0000 Nd
```

Summary:
- Formation energy: -0.46 eV per atom
- Symmetry: P4/mmm, No. 123

(2)
Material: NdSc5Ru6
Method: DFT, PBE-GGA
State: relaxed

Geometry as POSCAR:
```
NdSc5Ru6
1.0
4.4198 0.0187 -1.2898
-0.8960 5.7376 -2.9878
-0.0741 0.4219 7.9698
Sc Ru Nd
5 6 1
Direct
0.0000 0.5000 0.0000 Sc
0.6726 0.1726 0.3452 Sc
0.3334 0.3334 0.6669 Sc
0.6666 0.6666 0.3331 Sc
0.3274 0.8274 0.6548 Sc
0.8303 0.5759 0.6606 Ru
0.5000 0.7408 0.0000 Ru
0.5000 0.2592 0.0000 Ru
0.1697 0.9153 0.3394 Ru
0.8303 0.0847 0.6606 Ru
0.1697 0.4241 0.3394 Ru
0.0000 0.0000 0.0000 Nd
```

Summary:
- Formation energy: -0.44 eV per atom
- Symmetry: Immm, No. 71

(3)
Material: Nd2ScU2Ru5
Method: DFT, PBE-GGA
State: relaxed

Geometry as POSCAR:
```
Nd2ScU2Ru5
1.0
3.3560 0.0000 0.0000
0.0000 10.9338 0.0000
0.0000 0.0000 10.9338
Nd Ru Sc U
4 10 2 4
Direct
0.0000 0.3351 0.8351 Nd
0.0000 0.8351 0.6649 Nd
0.0000 0.1649 0.3351 Nd
0.0000 0.6649 0.1649 Nd
0.5000 0.7972 0.9438 Ru
0.5000 0.5000 0.0000 Ru
0.5000 0.0562 0.7972 Ru
0.5000 0.2972 0.5562 Ru
0.5000 0.2028 0.0562 Ru
0.5000 0.5562 0.7028 Ru
0.5000 0.4438 0.2972 Ru
0.5000 0.0000 0.5000 Ru
0.5000 0.9438 0.2028 Ru
0.5000 0.7028 0.4438 Ru
0.0000 0.0000 0.0000 Sc
0.0000 0.5000 0.5000 Sc
0.0000 0.3511 0.1489 U
0.0000 0.6489 0.8511 U
0.0000 0.1489 0.6489 U
0.0000 0.8511 0.3511 U
```

Summary:
- Formation energy: -0.22 eV per atom
- Symmetry: P4/mbm, No. 127

Number 1: volume 19.14 Å³ per atom. Number 2: volume 17.31 Å³ per atom. Number 3: volume 20.06 Å³ per atom.